1.
TiZn2Bi | PBE | optimized geometry

D(E_F) ... 3.50 states/eV/f.u.
Total magnetization ... 0.00 μB per formula unit
ΔH_f (0 K) ... 0.229 eV/atom
Symmetry ... I-42d, No. 122

Unit cell a=7.745 b=7.745 c=6.136 alpha=50.87 beta=50.87 gamma=90.00
Positions (direct):
Bi 0.750 0.250 0.500
Bi 0.000 0.000 0.000
Zn 0.140 0.625 0.250
Zn 0.610 0.125 0.250
Zn 0.375 0.390 0.750
Zn 0.875 0.860 0.750
Ti 0.500 0.500 0.000
Ti 0.250 0.750 0.500


2.
Ti5ZnBi2 | PBE | optimized geometry

D(E_F) ... 8.31 states/eV/f.u.
Total magnetization ... 0.00 μB per formula unit
ΔH_f (0 K) ... 0.221 eV/atom
Symmetry ... Cmcm, No. 63

Unit cell a=4.515 b=7.099 c=11.840 alpha=90.00 beta=90.00 gamma=108.54
Positions (direct):
Ti 0.125 0.250 0.136
Ti 0.290 0.580 0.750
Ti 0.698 0.396 0.509
Ti 0.698 0.396 0.991
Ti 0.302 0.604 0.009
Ti 0.875 0.750 0.864
Ti 0.710 0.420 0.250
Ti 0.125 0.250 0.364
Ti 0.875 0.750 0.636
Ti 0.302 0.604 0.491
Zn 0.688 0.376 0.750
Zn 0.312 0.624 0.250
Bi 0.092 0.184 0.611
Bi 0.908 0.816 0.389
Bi 0.908 0.816 0.111
Bi 0.092 0.184 0.889


3.
Ti9ZnBi2 | PBE | optimized geometry

D(E_F) ... 13.95 states/eV/f.u.
Total magnetization ... 0.00 μB per formula unit
ΔH_f (0 K) ... -0.075 eV/atom
Symmetry ... P4/mmm, No. 123

Unit cell a=4.095 b=4.095 c=12.840 alpha=90.00 beta=90.00 gamma=90.00
Positions (direct):
Ti 0.000 0.500 0.500
Ti 0.500 0.000 0.152
Ti 0.500 0.000 0.848
Ti 0.000 0.500 0.152
Ti 0.500 0.500 0.000
Ti 0.500 0.500 0.324
Ti 0.500 0.500 0.676
Ti 0.000 0.500 0.848
Ti 0.500 0.000 0.500
Zn 0.000 0.000 0.000
Bi 0.000 0.000 0.329
Bi 0.000 0.000 0.671


ΔH_f (0 K) of number 2 (Ti5ZnBi2)?
0.221 eV/atom


Copy entry 2 word for word.
Ti5ZnBi2 | PBE | optimized geometry

D(E_F) ... 8.31 states/eV/f.u.
Total magnetization ... 0.00 μB per formula unit
ΔH_f (0 K) ... 0.221 eV/atom
Symmetry ... Cmcm, No. 63

Unit cell a=4.515 b=7.099 c=11.840 alpha=90.00 beta=90.00 gamma=108.54
Positions (direct):
Ti 0.125 0.250 0.136
Ti 0.290 0.580 0.750
Ti 0.698 0.396 0.509
Ti 0.698 0.396 0.991
Ti 0.302 0.604 0.009
Ti 0.875 0.750 0.864
Ti 0.710 0.420 0.250
Ti 0.125 0.250 0.364
Ti 0.875 0.750 0.636
Ti 0.302 0.604 0.491
Zn 0.688 0.376 0.750
Zn 0.312 0.624 0.250
Bi 0.092 0.184 0.611
Bi 0.908 0.816 0.389
Bi 0.908 0.816 0.111
Bi 0.092 0.184 0.889


Please write out number 1 again, unchanged.
TiZn2Bi | PBE | optimized geometry

D(E_F) ... 3.50 states/eV/f.u.
Total magnetization ... 0.00 μB per formula unit
ΔH_f (0 K) ... 0.229 eV/atom
Symmetry ... I-42d, No. 122

Unit cell a=7.745 b=7.745 c=6.136 alpha=50.87 beta=50.87 gamma=90.00
Positions (direct):
Bi 0.750 0.250 0.500
Bi 0.000 0.000 0.000
Zn 0.140 0.625 0.250
Zn 0.610 0.125 0.250
Zn 0.375 0.390 0.750
Zn 0.875 0.860 0.750
Ti 0.500 0.500 0.000
Ti 0.250 0.750 0.500


Which of these has the lowest ΔH_f (0 K)?
Ti9ZnBi2